(1)
# Sr2LiMn

A geometry-optimized Sr2LiMn structure (PBE-GGA, Alexandria via LeMat-Bulk).

- energy of formation from the pure elements (eV/atom) = 0.3414
- N(E_F) (states/eV/cell) = 6.76
- total energy (eV per atom) = -3.270
- spin magnetization (μB per cell) = 3.74
- polymorph energy (0 for the lowest one) (meV per atom) = 16

Cell lengths 5.7145, 5.7145, 5.7145 Å; angles 60.00, 60.00, 60.00 degrees
Each line ends with the local moment (μB).
Fractional coordinates of all 4 atoms:
Sr  0.2500  0.2500  0.2500  0.05
Sr  0.7500  0.7500  0.7500  0.05
Mn  0.5000  0.5000  0.5000  -3.98
Li  0.0000  0.0000  0.0000  0.05



(2)
# LaNdAs

A geometry-optimized LaNdAs structure (PBE-GGA, Alexandria via LeMat-Bulk).

- energy of formation from the pure elements (eV/atom) = -0.8967
- N(E_F) (states/eV/cell) = 7.18
- total energy (eV per atom) = -5.678
- spin magnetization (μB per cell) = 1.03

Cell lengths 4.1718, 7.2007, 16.6432 Å; angles 149.88, 90.00, 106.84 degrees
Each line ends with the local moment (μB).
Fractional coordinates of all 6 atoms:
As  0.9958  0.9916  0.7495  0.00
As  0.0042  0.0084  0.2505  0.00
La  0.5104  0.0209  0.6326  0.08
La  0.4896  0.9791  0.3674  0.08
Nd  0.4942  0.9884  0.1181  0.07
Nd  0.5058  0.0116  0.8819  0.07



(3)
# Pm2DyHg

A geometry-optimized Pm2DyHg structure (PBE-GGA, Alexandria via LeMat-Bulk).

- energy of formation from the pure elements (eV/atom) = -0.1384
- N(E_F) (states/eV/cell) = 5.15
- total energy (eV per atom) = -3.740
- spin magnetization (μB per cell) = 0.00
- polymorph energy (0 for the lowest one) (meV per atom) = 90

Cell lengths 3.6918, 3.6918, 10.9212 Å; angles 80.27, 80.27, 60.00 degrees
Fractional coordinates of all 4 atoms:
Pm  0.0771  0.0771  0.7686
Pm  0.2563  0.2563  0.2312
Dy  0.4999  0.4999  0.5004
Hg  0.6667  0.6667  0.9999



(4)
# PmSbAu3

A geometry-optimized PmSbAu3 structure (PBE-GGA, Alexandria via LeMat-Bulk).

- N(E_F) (states/eV/cell) = 5.69
- total energy (eV per atom) = -4.267
- spin magnetization (μB per cell) = 0.00
- polymorph energy (0 for the lowest one) (meV per atom) = 0

Cell lengths 7.5519, 7.6698, 8.6444 Å; angles 113.17, 90.00, 90.00 degrees
Fractional coordinates of all 20 atoms:
Pm  0.9612  0.6999  0.2486
Pm  0.0388  0.3001  0.7514
Pm  0.4612  0.3001  0.2514
Pm  0.5388  0.6999  0.7486
Sb  0.2580  0.8956  0.5387
Sb  0.7420  0.1044  0.4613
Sb  0.7580  0.1044  0.9613
Sb  0.2420  0.8956  0.0387
Au  0.1148  0.1240  0.3599
Au  0.8852  0.8760  0.6401
Au  0.6148  0.8760  0.1401
Au  0.3852  0.1240  0.8599
Au  0.5734  0.7053  0.3794
Au  0.4266  0.2947  0.6206
Au  0.0734  0.2947  0.1206
Au  0.9266  0.7053  0.8794
Au  0.1846  0.5284  0.5330
Au  0.8154  0.4716  0.4670
Au  0.6846  0.4716  0.9670
Au  0.3154  0.5284  0.0330



- Which value of spin magnetization does entry 1 give?
  3.74 μB per cell